No. 1
Material: KNpNi2Cl8
Method: DFT, PBE
State: relaxed

Space group: R-3, No. 148
D(E_F) (states/eV/f.u.): 13.63

abc: 6.3404 6.3404 10.5376
angles: 72.49 72.49 60.00
Closest atoms and distances in Å follow each position.
Fractional positions:
Cl  0.8256  0.8256  0.5231  1 Ni 2.17
Cl  0.2756  0.9552  0.1600  1 Ni 2.29
K  0.5000  0.5000  0.5000  12 Cl 3.67-3.99
Ni  0.2474  0.2474  0.2577  4 Cl 2.17-2.29
Ni  0.7526  0.7526  0.7423  4 Cl 2.17-2.29
Cl  0.0448  0.3908  0.8400  1 Ni 2.29
Cl  0.7244  0.0448  0.8400  1 Ni 2.29
Np  0.0000  0.0000  0.0000  6 Cl 2.64
Cl  0.3908  0.7244  0.8400  1 Ni 2.29
Cl  0.1744  0.1744  0.4769  1 Ni 2.17
Cl  0.9552  0.6092  0.1600  1 Ni 2.29
Cl  0.6092  0.2756  0.1600  1 Ni 2.29

***

No. 2
Material: CeGeCl2
Method: DFT, PBE
State: relaxed

Space group: R-3m, No. 166
D(E_F) (states/eV/f.u.): 5.91

abc: 3.5091 3.5091 10.2296
angles: 80.12 80.12 60.00
Closest atoms and distances in Å follow each position.
Fractional positions:
Ce  0.0000  0.0000  0.0000  2 Cl 2.64
Cl  0.0879  0.0879  0.7364  1 Ce 2.64
Cl  0.9121  0.9121  0.2636  1 Ce 2.64
Ge  0.5000  0.5000  0.5000  6 Cl 3.12

***

In kJ/mol of atoms, the formation energy from raw total energies values for the records above are, in order, -109.2; -48.1.
In Å³ per atom, the calculated volume values for the records above are, in order, 28.67; 26.73.